Record 1
DFT (PBE) results for CdHg5Pd8 after structural relaxation.

## Properties
Space-group type: I-4, No. 82

Lattice parameters (Å, degrees): 6.992 6.992 6.992 109.66 109.09 109.66
Fractional positions:
Pd1 0.113 0.763 0.016
Hg1 0.980 0.396 0.128
Hg2 0.500 0.000 0.500
Pd2 0.150 0.766 0.573
Pd3 0.650 0.904 0.887
Hg3 0.872 0.852 0.268
Pd4 0.253 0.237 0.350
Pd5 0.616 0.423 0.850
Pd6 0.984 0.096 0.747
Hg4 0.732 0.604 0.584
Hg5 0.416 0.148 0.020
Cd1 0.250 0.500 0.750
Pd7 0.807 0.234 0.384
Pd8 0.427 0.577 0.193


Record 2
DFT (PBE) results for CdHgPd4 after structural relaxation.

## Properties
Relative energy among the computed polymorphs in eV/f.u.: 1.92
Space-group type: Cmcm, No. 63

Lattice parameters (Å, degrees): 4.480 7.651 7.085 90.00 108.43 90.00
Fractional positions:
Cd1 0.374 0.750 0.748
Pd1 0.778 0.918 0.557
Pd2 0.778 0.582 0.557
Pd3 0.222 0.082 0.443
Hg1 0.839 0.250 0.678
Pd4 0.222 0.418 0.443
Pd5 0.000 0.000 0.000
Pd6 0.000 0.500 0.000
Hg2 0.161 0.750 0.322
Pd7 0.564 0.750 0.128
Cd2 0.626 0.250 0.252
Pd8 0.436 0.250 0.872


Record 3
DFT (PBE) results for Cd4HgPd2 after structural relaxation.

## Properties
Space-group type: P2_1/m, No. 11

Lattice parameters (Å, degrees): 7.430 5.605 7.545 90.00 113.33 90.00
Fractional positions:
Hg1 0.154 0.750 0.015
Pd1 0.617 0.250 0.571
Hg2 0.846 0.250 0.985
Cd1 0.782 0.750 0.649
Pd2 0.756 0.750 0.001
Cd2 0.405 0.501 0.767
Cd3 0.218 0.250 0.351
Cd4 0.005 0.750 0.392
Cd5 0.595 0.001 0.233
Cd6 0.595 0.499 0.233
Cd7 0.405 0.999 0.767
Cd8 0.995 0.250 0.608
Pd3 0.244 0.250 0.999
Pd4 0.383 0.750 0.429


Record 4
DFT (PBE) results for Cd3Hg2Pd after structural relaxation.

## Properties
Space-group type: C2/m, No. 12

Lattice parameters (Å, degrees): 4.487 6.966 8.560 90.05 90.17 71.21
Fractional positions:
Pd1 0.655 0.689 0.000
Cd1 0.501 0.000 0.244
Cd2 0.176 0.650 0.215
Pd2 0.345 0.311 0.000
Cd3 0.499 0.000 0.756
Cd4 0.826 0.350 0.215
Hg1 0.331 0.338 0.500
Cd5 0.824 0.350 0.785
Cd6 0.174 0.650 0.785
Hg2 0.669 0.662 0.500
Hg3 0.000 0.000 0.500
Hg4 0.000 0.000 0.000


Record 5
DFT (PBE) results for CdHgPd2 after structural relaxation.

## Properties
Space-group type: Immm, No. 71

Lattice parameters (Å, degrees): 6.165 6.165 6.165 55.48 152.89 132.57
Fractional positions:
Hg1 0.000 0.500 0.500
Pd1 0.000 0.248 0.248
Pd2 0.000 0.752 0.752
Cd1 0.000 0.000 0.000


Record 6
DFT (PBE) results for CdHg2Pd after structural relaxation.

## Properties
Space-group type: I-42d, No. 122

Lattice parameters (Å, degrees): 7.925 7.925 6.292 50.97 50.97 90.00
Fractional positions:
Pd1 0.500 0.500 0.000
Hg1 0.602 0.125 0.250
Cd1 0.000 0.000 0.000
Hg2 0.375 0.398 0.750
Hg3 0.875 0.852 0.750
Pd2 0.250 0.750 0.500
Hg4 0.148 0.625 0.250
Cd2 0.750 0.250 0.500


Record 7
DFT (PBE) results for CdHgPd3 after structural relaxation.

## Properties
Relative energy among the computed polymorphs in eV/f.u.: 0.00
Space-group type: Cmcm, No. 63

Lattice parameters (Å, degrees): 4.316 4.325 9.492 90.00 76.86 90.00
Fractional positions:
Pd1 0.776 0.250 0.096
Hg1 0.677 0.750 0.295
Pd2 0.276 0.750 0.096
Pd3 0.372 0.250 0.904
Hg2 0.972 0.250 0.705
Cd1 0.471 0.750 0.706
Pd4 0.872 0.750 0.904
Pd5 0.574 0.250 0.500
Pd6 0.074 0.750 0.500
Cd2 0.177 0.250 0.294


Record 8
DFT (PBE) results for CdHg2Pd8 after structural relaxation.

## Properties
Relative energy among the computed polymorphs in eV/f.u.: 1.10
Space-group type: Immm, No. 71

Lattice parameters (Å, degrees): 4.426 6.866 7.508 117.21 107.14 90.00
Fractional positions:
Hg1 0.806 0.306 0.612
Pd1 0.845 0.845 0.690
Pd2 0.351 0.133 0.703
Pd3 0.649 0.431 0.297
Pd4 0.000 0.711 0.000
Cd1 0.500 0.000 0.000
Pd5 0.649 0.867 0.297
Pd6 0.351 0.569 0.703
Pd7 0.000 0.289 0.000
Pd8 0.155 0.155 0.310
Hg2 0.194 0.694 0.388


Record 9
DFT (PBE) results for CdHgPd14 after structural relaxation.

## Properties
Space-group type: Amm2, No. 38

Lattice parameters (Å, degrees): 5.616 5.616 9.261 90.00 90.00 119.22
Fractional positions:
Pd1 0.874 0.126 0.248
Pd2 0.207 0.793 0.000
Pd3 0.045 0.456 0.500
Pd4 0.375 0.124 0.754
Pd5 0.375 0.124 0.246
Pd6 0.206 0.294 0.000
Pd7 0.374 0.626 0.753
Cd1 0.045 0.955 0.500
Hg1 0.545 0.455 0.500
Pd8 0.544 0.955 0.500
Pd9 0.374 0.626 0.247
Pd10 0.876 0.625 0.246
Pd11 0.874 0.126 0.752
Pd12 0.876 0.625 0.754
Pd13 0.706 0.294 0.000
Pd14 0.706 0.794 0.000


Record 10
DFT (PBE) results for CdHgPd4 after structural relaxation.

## Properties
Relative energy among the computed polymorphs in eV/f.u.: 0.00
Space-group type: C2/m, No. 12

Lattice parameters (Å, degrees): 2.967 4.972 7.503 97.38 78.60 72.64
Fractional positions:
Pd1 0.668 0.000 0.664
Pd2 0.164 0.503 0.168
Hg1 0.000 0.000 0.000
Cd1 0.500 0.500 0.500
Pd3 0.836 0.497 0.832
Pd4 0.332 0.000 0.336


Record 11
DFT (PBE) results for Cd2HgPd8 after structural relaxation.

## Properties
Relative energy among the computed polymorphs in eV/f.u.: 0.91
Space-group type: Immm, No. 71

Lattice parameters (Å, degrees): 3.969 8.307 7.439 123.94 105.47 90.00
Fractional positions:
Pd1 0.667 0.919 0.335
Hg1 0.500 0.000 0.000
Pd2 0.825 0.825 0.651
Cd1 0.151 0.651 0.302
Pd3 0.000 0.244 0.000
Cd2 0.849 0.349 0.698
Pd4 0.333 0.081 0.665
Pd5 0.667 0.416 0.335
Pd6 0.333 0.584 0.665
Pd7 0.175 0.175 0.349
Pd8 0.000 0.756 0.000


Record 12
DFT (PBE) results for CdHg2Pd6 after structural relaxation.

## Properties
Relative energy among the computed polymorphs in eV/f.u.: 0.81
Space-group type: C2/m, No. 12

Lattice parameters (Å, degrees): 2.871 7.864 8.207 118.62 99.46 90.00
Fractional positions:
Pd1 0.833 0.647 0.668
Cd1 0.000 0.000 0.000
Pd2 0.833 0.021 0.668
Pd3 0.167 0.979 0.332
Hg1 0.332 0.334 0.668
Pd4 0.167 0.353 0.332
Pd5 0.500 0.693 0.000
Pd6 0.500 0.307 0.000
Hg2 0.668 0.666 0.332


no.,energy relative to the elements (eV per formula unit),DFT total energy (eV/atom)
1,-1.122,-3.22
2,0.634,-3.56
3,-1.108,-2.21
4,-0.533,-1.51
5,0.552,-2.76
6,0.195,-1.63
7,-1.208,-3.60
8,-0.817,-3.99
9,-0.954,-4.68
10,-1.282,-3.88
11,-1.533,-4.11
12,-0.696,-3.71